1.
A plane-wave DFT calculation with GGA-PBE was carried out for a relaxed NaSr2Tl7Pb2 crystal.

Computed properties:
* E_form: -17.3 kJ per mole of atoms
* calculated total energy: -61.641 eV per cell
* M_tot: 0.0 μB/cell

a b c (Å): 6.787 6.771 17.341
angles (deg): 90.00 101.21 90.00
Space group C2/m (No. 12)
Inequivalent atoms, fractional coordinates:
Na: 0.000 0.000 0.000 [2 per cell]
Sr: 0.166 0.000 0.329 [4 per cell]
Tl: 0.000 0.500 0.000 [2 per cell]
Tl: 0.172 0.250 0.850 [8 per cell]
Tl: 0.236 0.500 0.469 [4 per cell]
Pb: 0.144 0.500 0.284 [4 per cell]

2.
A plane-wave DFT calculation with GGA-PBE was carried out for a relaxed NaSrTlPb crystal.

Computed properties:
* E_form: -32.3 kJ per mole of atoms
* calculated total energy: -41.656 eV per cell
* M_tot: 0.0 μB/cell

a b c (Å): 7.965 7.965 7.965
angles (deg): 90.00 90.00 90.00
Space group F-43m (No. 216)
Inequivalent atoms, fractional coordinates:
Na: 0.000 0.000 0.000 [4 per cell]
Sr: 0.000 0.000 0.500 [4 per cell]
Tl: 0.250 0.250 0.250 [4 per cell]
Pb: 0.250 0.250 0.750 [4 per cell]

3.
A plane-wave DFT calculation with GGA-PBE was carried out for a relaxed NaSr4TlPb2 crystal.

Computed properties:
* E_form: -41.7 kJ per mole of atoms
* calculated total energy: -63.861 eV per cell
* M_tot: 0.0 μB/cell

a b c (Å): 5.8676 5.8676 28.7216
angles (deg): 90.00 90.00 120.00
Space group R-3m (No. 166, hexagonal axes)
Inequivalent atoms, fractional coordinates:
Na: 0.0000 0.0000 0.0000 [3 per cell]
Sr: 0.0000 0.0000 0.1290 [6 per cell]
Sr: 0.0000 0.0000 0.3793 [6 per cell]
Tl: 0.0000 0.0000 0.5000 [3 per cell]
Pb: 0.0000 0.0000 0.2537 [6 per cell]

4.
A plane-wave DFT calculation with GGA-PBE was carried out for a relaxed Na2SrTl2Pb2 crystal.

Computed properties:
* E_form: -21.6 kJ per mole of atoms
* calculated total energy: -54.115 eV per cell
* M_tot: 0.0 μB/cell

a b c (Å): 5.4023 5.4023 25.4089
angles (deg): 90.00 90.00 120.00
Space group R-3m (No. 166, hexagonal axes)
Inequivalent atoms, fractional coordinates:
Na: 0.0000 0.0000 0.1473 [6 per cell]
Sr: 0.0000 0.0000 0.0000 [3 per cell]
Tl: 0.0000 0.0000 0.2805 [6 per cell]
Pb: 0.0000 0.0000 0.4297 [6 per cell]

5.
A plane-wave DFT calculation with GGA-PBE was carried out for a relaxed NaTaPb2 crystal.

Computed properties:
* E_form: 54.5 kJ per mole of atoms
* calculated total energy: -54.982 eV per cell
* M_tot: 0.0 μB/cell

a b c (Å): 3.2469 3.2469 34.0807
angles (deg): 90.00 90.00 120.00
Space group R-3m (No. 166, hexagonal axes)
Inequivalent atoms, fractional coordinates:
Na: 0.0000 0.0000 0.0000 [3 per cell]
Ta: 0.0000 0.0000 0.5000 [3 per cell]
Pb: 0.0000 0.0000 0.4150 [6 per cell]

6.
A plane-wave DFT calculation with GGA-PBE was carried out for a relaxed Na3TaPb crystal.

Computed properties:
* E_form: 140.4 kJ per mole of atoms
* calculated total energy: -12.242 eV per cell
* polymorph energy (0 for the lowest one): 73 meV/atom
* M_tot: 4.1 μB/cell

a b c (Å): 5.778 5.778 5.778
angles (deg): 90.00 90.00 90.00
Space group Pm-3m (No. 221)
Inequivalent atoms, fractional coordinates:
Na: 0.000 0.000 0.500 [3 per cell]
Ta: 0.000 0.000 0.000 [1 per cell]
Pb: 0.500 0.500 0.500 [1 per cell]

7.
A plane-wave DFT calculation with GGA-PBE was carried out for a relaxed NaTaPb2 crystal.

Computed properties:
* E_form: 85.4 kJ per mole of atoms
* calculated total energy: -68.198 eV per cell
* M_tot: 5.0 μB/cell

a b c (Å): 4.856 4.856 19.658
angles (deg): 90.00 90.00 90.00
Space group I-42d (No. 122)
Inequivalent atoms, fractional coordinates:
Na: 0.000 0.000 0.000 [4 per cell]
Ta: 0.000 0.000 0.500 [4 per cell]
Pb: 0.213 0.250 0.625 [8 per cell]

8.
A plane-wave DFT calculation with GGA-PBE was carried out for a relaxed NaTaPb3 crystal.

Computed properties:
* E_form: 30.8 kJ per mole of atoms
* calculated total energy: -22.703 eV per cell
* polymorph energy (0 for the lowest one): 0 meV/atom
* M_tot: 0.0 μB/cell

a b c (Å): 5.551 5.551 5.551
angles (deg): 90.00 90.00 90.00
Space group Pm-3m (No. 221)
Inequivalent atoms, fractional coordinates:
Na: 0.000 0.000 0.000 [1 per cell]
Ta: 0.500 0.500 0.500 [1 per cell]
Pb: 0.000 0.500 0.500 [3 per cell]

| no. | DOS(E_F) (states/eV/atom) |
| --- | --- |
| 1 | 0.38 |
| 2 | 0.26 |
| 3 | 0.44 |
| 4 | 0.54 |
| 5 | 1.09 |
| 6 | 1.12 |
| 7 | 0.78 |
| 8 | 0.45 |